*P*
A plane-wave DFT calculation with GGA-PBE was carried out for Au2Cl after structural relaxation.

Cell: 6.7243 6.7243 5.0910 Å, 90.00 90.00 120.00°
Space group P-62m (No. 189)
One atom of each set of equivalent atoms:
Au1 0.0000 0.2352 0.0000 x3
Au2 0.0000 0.4287 0.5000 x3
Cl1 0.0000 0.0000 0.5000 x1
Cl2 0.3333 0.6667 0.0000 x2

*Q*
A plane-wave DFT calculation with GGA-PBE was carried out for Au2Cl after structural relaxation.

Cell: 4.7611 4.7611 5.9862 Å, 90.00 90.00 120.00°
Space group P6_3/mmc (No. 194)
One atom of each set of equivalent atoms:
Au1 0.0000 0.0000 0.0000 x2
Au2 0.3333 0.6667 0.2500 x2
Cl1 0.3333 0.6667 0.7500 x2

The structure shown above that is most stable: *Q*.